## 1
First-principles (PBE) data for FeRe2Mo after structural relaxation, as listed in Alexandria.

Unit cell a=4.340 b=2.655 c=5.165 alpha=78.85 beta=90.00 gamma=90.00
Element x y z (fractional)
Re1 0.500 0.261 0.252
Re2 0.000 0.992 0.007
Mo1 0.500 0.749 0.739
Fe1 0.000 0.499 0.502

Calculated values
Magnetization   0.644 μB per atom
Space group   Pm, No. 6



## 2
First-principles (PBE) data for FeRe2Mo after structural relaxation, as listed in Alexandria.

Unit cell a=4.372 b=2.653 c=5.104 alpha=80.91 beta=90.00 gamma=90.00
Element x y z (fractional)
Fe1 0.500 0.250 0.250
Mo1 0.500 0.750 0.750
Re1 0.000 0.004 0.008
Re2 0.000 0.496 0.492

Calculated values
Magnetization   0.641 μB per atom
Space group   P2/m, No. 10



The structure with the least stability is 1.